[1]
Zr3Sc2Zn3: relaxed, PBE.

Results
polymorph energy (0 for the lowest one): 23 meV per atom
ΔE_f: -2.8 kJ/mol of atoms
energy: -5.2906 eV/atom

a = 6.1128 Å, b = 6.1128 Å, c = 5.0183 Å
α = 90.00°, β = 90.00°, γ = 120.00°
With the nearest neighbours (Å) after each atom.
Positions (direct):
Zr (0.0032, 0.5016, 0.0000)  4 Zr 3.03-3.09, 4 Zn 3.03, 4 Sc 3.06-3.08
Zr (0.4984, 0.9968, 0.0000)  4 Zr 3.03-3.09, 4 Zn 3.03, 4 Sc 3.06-3.08
Zr (0.4984, 0.5016, 0.0000)  4 Zr 3.03-3.09, 4 Zn 3.03, 4 Sc 3.06-3.08
Zn (0.1787, 0.3574, 0.5000)  2 Zn 2.84, 4 Zr 3.03, 4 Sc 3.06-3.14
Zn (0.6426, 0.8213, 0.5000)  2 Zn 2.84, 4 Zr 3.03, 4 Sc 3.06-3.14
Zn (0.1787, 0.8213, 0.5000)  2 Zn 2.84, 4 Zr 3.03, 4 Sc 3.06-3.14
Sc (0.6667, 0.3333, 0.5000)  6 Zn 3.06, 6 Zr 3.08
Sc (0.0000, 0.0000, 0.0000)  6 Zr 3.06, 6 Zn 3.14

***

[2]
ZrScZn2: relaxed, PBE.

Results
ΔE_f: -9.6 kJ/mol of atoms
energy: -4.4510 eV/atom

a = 4.7566 Å, b = 6.0852 Å, c = 6.0852 Å
α = 59.89°, β = 90.00°, γ = 90.00°
With the nearest neighbours (Å) after each atom.
Positions (direct):
Zn (0.0000, 0.8305, 0.8305)  4 Sc 2.90-3.04, 4 Zn 2.96, 4 Zr 2.97-3.12
Zn (0.5000, 0.1651, 0.6809)  2 Zr 2.88, 6 Zn 2.92-3.17, 4 Sc 3.00-3.07
Zn (0.5000, 0.1619, 0.1619)  4 Zr 2.92, 4 Zn 2.92-3.17, 4 Sc 2.99-3.04
Zn (0.5000, 0.6809, 0.1651)  2 Zr 2.88, 6 Zn 2.92-3.17, 4 Sc 3.00-3.07
Zr (0.0000, 0.3128, 0.8416)  1 Zr 2.86, 6 Zn 2.88-3.12, 4 Sc 3.02-3.07
Zr (0.0000, 0.8416, 0.3128)  1 Zr 2.86, 6 Zn 2.88-3.12, 4 Sc 3.02-3.07
Sc (0.0000, 0.3344, 0.3344)  8 Zn 2.99-3.04, 4 Zr 3.02-3.07
Sc (0.5000, 0.6728, 0.6728)  8 Zn 2.90-3.07, 4 Zr 3.04

***

[3]
Zr3Sc: relaxed, PBE.

Results
polymorph energy (0 for the lowest one): 4 meV per atom
ΔE_f: -2.8 kJ/mol of atoms
energy: -8.0210 eV/atom

a = 5.6047 Å, b = 6.4662 Å, c = 5.1354 Å
α = 90.00°, β = 90.00°, γ = 90.00°
With the nearest neighbours (Å) after each atom.
Positions (direct):
Zr (0.4992, 0.7508, 0.0000)  8 Zr 3.17-3.24, 4 Sc 3.18-3.24
Zr (0.8342, 0.7492, 0.5000)  8 Zr 3.17-3.24, 4 Sc 3.18-3.24
Zr (0.8342, 0.2508, 0.5000)  8 Zr 3.17-3.24, 4 Sc 3.18-3.24
Zr (0.0003, 0.5000, 0.0000)  4 Sc 3.17-3.23, 8 Zr 3.17-3.24
Zr (0.4992, 0.2492, 0.0000)  8 Zr 3.17-3.24, 4 Sc 3.18-3.24
Zr (0.3331, 0.0000, 0.5000)  4 Sc 3.17-3.23, 8 Zr 3.17-3.24
Sc (0.3322, 0.5000, 0.5000)  12 Zr 3.17-3.24
Sc (0.0012, 0.0000, 0.0000)  12 Zr 3.17-3.24

***

[4]
ZrSc2: relaxed, PBE.

Results
ΔE_f: 32.6 kJ/mol of atoms
energy: -6.7296 eV/atom

a = 5.9154 Å, b = 5.9154 Å, c = 5.9154 Å
α = 60.00°, β = 60.00°, γ = 60.00°
With the nearest neighbours (Å) after each atom.
Positions (direct):
Sc (0.1250, 0.6250, 0.6250)  6 Sc 2.96
Sc (0.6250, 0.6250, 0.1250)  6 Sc 2.96
Sc (0.6250, 0.1250, 0.6250)  6 Sc 2.96
Sc (0.6250, 0.6250, 0.6250)  6 Sc 2.96
Zr (0.0000, 0.0000, 0.0000)  12 Sc 3.47, 4 Zr 3.62
Zr (0.2500, 0.2500, 0.2500)  12 Sc 3.47, 4 Zr 3.62